Entry 1:
Entry from Alexandria via LeMat-Bulk: UCo5C after structural relaxation (PBE).

**ΔE_f**: 102 meV/atom
**Raw total energy**: -0.5809 Ry/atom

Structure (CIF):
```
data_UCo5C
_chemical_formula_sum 'U1 Co5 C1'
_cell_length_a 3.5819
_cell_length_b 3.5820
_cell_length_c 6.2160
_cell_angle_alpha 90.00
_cell_angle_beta 90.00
_cell_angle_gamma 90.00
_symmetry_space_group_name_H-M 'P 1'
_symmetry_Int_Tables_number 1
_symmetry_space_group_name_Hall 'P 1'
loop_
_atom_site_label
_atom_site_type_symbol
_atom_site_fract_x
_atom_site_fract_y
_atom_site_fract_z
U1 U 0.0000 0.0000 0.5000
Co1 Co 0.0000 0.5000 0.8122
Co2 Co 0.0000 0.5000 0.1878
Co3 Co 0.5000 0.0000 0.8122
Co4 Co 0.5000 0.0000 0.1878
Co5 Co 0.5000 0.5000 0.5000
C1 C 0.5000 0.5000 0.0000
```

***

Entry 2:
Entry from Alexandria via LeMat-Bulk: UCoC after structural relaxation (PBE).

**ΔE_f**: -155 meV/atom
**Energy above the lowest structure with this stoichiometry**: 0.0000 eV per atom
**Raw total energy**: -0.6880 Ry/atom

Structure (CIF):
```
data_UCoC
_chemical_formula_sum 'U2 Co2 C2'
_cell_length_a 3.5966
_cell_length_b 4.8705
_cell_length_c 4.8836
_cell_angle_alpha 90.00
_cell_angle_beta 111.53
_cell_angle_gamma 90.00
_symmetry_space_group_name_H-M 'P 1'
_symmetry_Int_Tables_number 1
_symmetry_space_group_name_Hall 'P 1'
loop_
_atom_site_label
_atom_site_type_symbol
_atom_site_fract_x
_atom_site_fract_y
_atom_site_fract_z
U1 U 0.8554 0.2500 0.7115
U2 U 0.1446 0.7500 0.2885
Co1 Co 0.5704 0.2500 0.1404
Co2 Co 0.4296 0.7500 0.8596
C1 C 0.1577 0.2500 0.3155
C2 C 0.8423 0.7500 0.6845
```